Entry from Alexandria via LeMat-Bulk: an optimized crystal structure of Tb4TlIn (GGA-PBE).

Geometry as POSCAR:
```
Tb4TlIn
1.0
-1.695 0.229 3.076
-3.093 -8.626 -1.063
4.563 -1.964 2.661
Tb Tl In
4 1 1
Direct
0.500 0.695 0.000 Tb
0.500 0.305 0.000 Tb
0.000 0.198 0.500 Tb
0.000 0.802 0.500 Tb
0.000 0.000 0.000 Tl
0.500 0.500 0.500 In
```

Output
- SG: Pmmm, No. 47
- Energy above the most stable polymorph in this dataset: 0.10 eV/f.u.
- E_form: -0.3 eV per formula unit